LiVP2O7 | PBE+U | optimized geometry

The structure in POSCAR format:
```
LiVP2O7
1.0
7.934 -0.051 0.155
-0.861 6.219 0.130
-1.482 -2.414 5.750
O Li P V
14 2 4 2
direct
0.351 0.435 0.745 O
0.175 0.736 0.701 O
0.203 0.026 0.475 O
0.041 0.379 0.782 O
0.778 0.255 0.298 O
0.229 0.352 0.319 O
0.488 0.775 0.538 O
0.797 0.982 0.571 O
0.294 0.711 0.087 O
0.707 0.313 0.921 O
0.967 0.595 0.241 O
0.653 0.595 0.261 O
0.765 0.638 0.683 O
0.499 0.211 0.458 O
0.523 0.974 0.184 Li
0.057 0.022 0.692 Li
0.788 0.431 0.178 P
0.673 0.750 0.526 P
0.204 0.571 0.832 P
0.319 0.249 0.487 P
0.768 0.310 0.635 V
0.225 0.689 0.384 V
```

---

LiVP2O | PBE+U | optimized geometry

The structure in POSCAR format:
```
LiVP2O
1.0
-3.416 0.403 3.275
-2.039 -3.965 -1.639
1.990 -1.982 2.319
V P O Li
1 2 1 1
direct
0.000 0.000 0.000 V
0.500 0.000 0.000 P
0.000 0.500 0.000 P
0.000 0.000 0.500 O
0.500 0.500 0.500 Li
```

---

LiVPO4 | PBE+U | optimized geometry

The structure in POSCAR format:
```
LiVPO4
1.0
5.670 -0.095 -0.101
-1.692 6.309 0.032
1.826 -2.448 8.887
Li O P V
4 16 4 4
direct
0.698 0.468 0.232 Li
0.837 0.630 0.859 Li
0.302 0.532 0.768 Li
0.163 0.370 0.141 Li
0.772 0.182 0.081 O
0.130 0.054 0.189 O
0.628 0.264 0.377 O
0.664 0.269 0.859 O
0.870 0.946 0.811 O
0.203 0.460 0.375 O
0.592 0.753 0.374 O
0.228 0.818 0.919 O
0.372 0.736 0.623 O
0.408 0.247 0.626 O
0.797 0.540 0.625 O
0.880 0.675 0.096 O
0.120 0.325 0.904 O
0.845 0.150 0.543 O
0.155 0.850 0.457 O
0.336 0.731 0.141 O
0.153 0.818 0.087 P
0.678 0.302 0.544 P
0.847 0.182 0.913 P
0.322 0.698 0.456 P
0.783 0.831 0.578 V
0.217 0.169 0.422 V
0.303 0.054 0.790 V
0.697 0.946 0.210 V
```

---

LiVPO4 | PBE+U | optimized geometry

The structure in POSCAR format:
```
LiVPO4
1.0
-4.892 -0.595 -0.775
-0.007 -7.878 6.094
-1.353 4.320 5.583
P Li O V
4 4 16 4
direct
0.693 0.096 0.733 P
0.193 0.404 0.233 P
0.307 0.904 0.267 P
0.807 0.596 0.767 P
0.203 0.171 0.514 Li
0.703 0.329 0.014 Li
0.797 0.829 0.486 Li
0.297 0.671 0.986 Li
0.331 0.315 0.088 O
0.807 0.117 0.940 O
0.307 0.383 0.440 O
0.108 0.631 0.757 O
0.693 0.617 0.560 O
0.244 0.555 0.196 O
0.193 0.883 0.060 O
0.756 0.445 0.804 O
0.831 0.185 0.588 O
0.392 0.131 0.743 O
0.256 0.055 0.304 O
0.608 0.869 0.257 O
0.744 0.945 0.696 O
0.169 0.815 0.412 O
0.669 0.685 0.912 O
0.892 0.369 0.243 O
0.731 0.384 0.519 V
0.231 0.116 0.019 V
0.769 0.884 0.981 V
0.269 0.616 0.481 V
```

---

Li4Zr8V3P9O48 | PBE+U | optimized geometry

The structure in POSCAR format:
```
Li4Zr8V3P9O48
1.0
9.086 -0.006 0.011
-0.043 9.113 -0.002
-0.327 -0.096 12.875
Li O Zr P V
4 48 8 9 3
direct
0.231 0.277 0.181 Li
0.705 0.227 0.677 Li
0.272 0.778 0.325 Li
0.774 0.723 0.820 Li
0.136 0.664 0.421 O
0.577 0.342 0.076 O
0.124 0.855 0.561 O
0.318 0.253 0.328 O
0.188 0.992 0.767 O
0.326 0.469 0.731 O
0.638 0.657 0.054 O
0.047 0.363 0.448 O
0.625 0.802 0.328 O
0.816 0.249 0.819 O
0.659 0.574 0.474 O
0.674 0.748 0.679 O
0.450 0.855 0.054 O
0.054 0.393 0.851 O
0.154 0.926 0.980 O
0.871 0.153 0.447 O
0.554 0.111 0.363 O
0.441 0.895 0.643 O
0.668 0.938 0.537 O
0.636 0.837 0.910 O
0.138 0.699 0.831 O
0.402 0.598 0.346 O
0.819 0.016 0.238 O
0.369 0.160 0.088 O
0.907 0.900 0.838 O
0.572 0.409 0.652 O
0.342 0.432 0.536 O
0.678 0.514 0.259 O
0.848 0.070 0.021 O
0.665 0.021 0.722 O
0.378 0.216 0.656 O
0.190 0.747 0.178 O
0.953 0.605 0.140 O
0.553 0.137 0.942 O
0.875 0.300 0.167 O
0.431 0.652 0.918 O
0.827 0.520 0.775 O
0.169 0.478 0.228 O
0.336 0.981 0.277 O
0.181 0.547 0.038 O
0.368 0.337 0.940 O
0.923 0.838 0.421 O
0.854 0.339 0.588 O
0.833 0.442 0.961 O
0.099 0.096 0.160 O
0.072 0.168 0.587 O
0.323 0.054 0.463 O
0.944 0.646 0.562 O
0.738 0.045 0.883 Zr
0.254 0.028 0.616 Zr
0.758 0.483 0.111 Zr
0.269 0.952 0.116 Zr
0.252 0.511 0.881 Zr
0.235 0.455 0.393 Zr
0.746 0.982 0.387 Zr
0.757 0.547 0.614 Zr
0.402 0.382 0.644 P
0.885 0.400 0.852 P
0.029 0.752 0.491 P
0.385 0.101 0.359 P
0.610 0.900 0.644 P
0.469 0.246 0.012 P
0.964 0.254 0.518 P
0.536 0.749 0.984 P
0.122 0.594 0.144 P
0.908 0.118 0.147 V
0.099 0.880 0.853 V
0.594 0.620 0.350 V
```

---

LiP4WO12 | PBE+U | optimized geometry

The structure in POSCAR format:
```
LiP4WO12
1.0
-9.250 2.239 -9.911
-1.701 -5.175 0.419
-5.270 0.937 5.131
O P Li W
24 8 2 2
direct
0.633 0.038 0.294 O
0.748 0.328 0.870 O
0.591 0.254 0.561 O
0.378 0.002 0.160 O
0.878 0.998 0.840 O
0.473 0.952 0.453 O
0.248 0.672 0.130 O
0.289 0.012 0.866 O
0.801 0.167 0.533 O
0.301 0.833 0.467 O
0.133 0.962 0.706 O
0.789 0.988 0.134 O
0.631 0.839 0.007 O
0.707 0.611 0.302 O
0.091 0.746 0.439 O
0.912 0.318 0.046 O
0.618 0.782 0.618 O
0.347 0.291 0.391 O
0.412 0.682 0.954 O
0.847 0.709 0.609 O
0.131 0.161 0.993 O
0.118 0.218 0.382 O
0.207 0.389 0.698 O
0.973 0.048 0.547 O
0.831 0.187 0.970 P
0.084 0.989 0.510 P
0.687 0.848 0.175 P
0.187 0.152 0.825 P
0.331 0.813 0.030 P
0.584 0.011 0.490 P
0.868 0.973 0.629 P
0.368 0.027 0.371 P
0.040 0.291 0.135 Li
0.540 0.709 0.865 Li
0.720 0.480 0.587 W
0.220 0.520 0.413 W
```

---

Number 1: E -7.2346 eV/atom. Number 2: E -5.1808 eV/atom. Number 3: E -7.0979 eV/atom. Number 4: E -7.0882 eV/atom. Number 5: E -7.9768 eV/atom. Number 6: E -7.1388 eV/atom.